# PBE Sr2LiIr, optimized geometry
data_Sr2LiIr
_chemical_formula_sum 'Sr2 Li1 Ir1'
_cell_length_a 5.853
_cell_length_b 5.853
_cell_length_c 5.853
_cell_angle_alpha 133.66
_cell_angle_beta 133.66
_cell_angle_gamma 67.62
_space_group_name_H-M_alt 'P 1'
_space_group_IT_number 1
loop_
_space_group_symop_operation_xyz
'x,y,z'
loop_
_atom_site_label
_atom_site_type_symbol
_atom_site_fract_x
_atom_site_fract_y
_atom_site_fract_z
Sr1 Sr 0.000 0.000 0.000
Sr2 Sr 0.250 0.750 0.500
Li1 Li 0.750 0.250 0.500
Ir1 Ir 0.500 0.500 0.000
# Energy in eV for the cell shown: -13.6
# M_tot in μB per atom: 0.0000